(1)
Material: TbMgZn10
Method: DFT, PBE
State: optimized geometry

## Properties
Magnetization, μB/f.u.: 0.000
Calculated total energy, Ry per atom: -0.1275
Formation enthalpy at 0 K, eV per atom: -0.15

a b c (Å): 4.2696 5.2103 9.1501
angles (deg): 90.00 90.00 90.00
With the nearest neighbours (Å) after each atom.
Sites, in units of the cell vectors:
Tb  0.0000  0.0000  0.0000  18 Zn 3.10-3.37
Mg  0.0000  0.5000  0.5000  6 Zn 2.90-2.97
Zn  0.0000  0.0000  0.3437  7 Zn 2.57-2.86
Zn  0.0000  0.0000  0.6563  7 Zn 2.57-2.86
Zn  0.0000  0.5000  0.1828  6 Zn 2.58-2.71
Zn  0.0000  0.5000  0.8172  6 Zn 2.58-2.71
Zn  0.5000  0.0000  0.5000  8 Zn 2.57-2.68
Zn  0.5000  0.2433  0.2420  8 Zn 2.54-2.68
Zn  0.5000  0.2433  0.7580  8 Zn 2.54-2.68
Zn  0.5000  0.5000  0.0000  8 Zn 2.59-2.71
Zn  0.5000  0.7567  0.2420  8 Zn 2.54-2.68
Zn  0.5000  0.7567  0.7580  8 Zn 2.54-2.68

---

(2)
Material: Tb2MgZn10
Method: DFT, PBE
State: optimized geometry

## Properties
Magnetization, μB/f.u.: 0.000
Calculated total energy, Ry per atom: -0.1448
Formation enthalpy at 0 K, eV per atom: -0.15

a b c (Å): 5.5561 5.8967 15.5161
angles (deg): 90.00 110.56 90.00
With the nearest neighbours (Å) after each atom.
Sites, in units of the cell vectors:
Tb  0.0795  0.2204  0.0793  3 Zn 2.92-2.97
Tb  0.0795  0.2796  0.5793  3 Zn 2.92-2.97
Tb  0.9205  0.7204  0.4207  3 Zn 2.92-2.97
Tb  0.9205  0.7796  0.9207  3 Zn 2.92-2.97
Mg  0.5000  0.0000  0.5000  8 Zn 2.78-2.97
Mg  0.5000  0.5000  0.0000  8 Zn 2.78-2.97
Zn  0.0902  0.2193  0.3685  5 Zn 2.47-2.66
Zn  0.0902  0.2807  0.8685  5 Zn 2.47-2.66
Zn  0.2488  0.0372  0.7546  6 Zn 2.46-2.67
Zn  0.2488  0.4628  0.2546  6 Zn 2.46-2.67
Zn  0.3008  0.6038  0.7999  8 Zn 2.64-2.94
Zn  0.3008  0.8962  0.2999  8 Zn 2.64-2.94
Zn  0.3573  0.7208  0.1343  5 Zn 2.47-2.67
Zn  0.3573  0.7792  0.6343  5 Zn 2.47-2.67
Zn  0.4203  0.5421  0.4208  4 Zn 2.35-2.57
Zn  0.4203  0.9579  0.9208  4 Zn 2.35-2.57
Zn  0.5797  0.0421  0.0792  4 Zn 2.35-2.57
Zn  0.5797  0.4579  0.5792  4 Zn 2.35-2.57
Zn  0.6427  0.2208  0.3657  5 Zn 2.47-2.67
Zn  0.6427  0.2792  0.8657  5 Zn 2.47-2.67
Zn  0.6992  0.1038  0.7001  8 Zn 2.64-2.94
Zn  0.6992  0.3962  0.2001  8 Zn 2.64-2.94
Zn  0.7512  0.5372  0.7454  6 Zn 2.46-2.67
Zn  0.7512  0.9628  0.2454  6 Zn 2.46-2.67
Zn  0.9098  0.7193  0.1315  5 Zn 2.47-2.66
Zn  0.9098  0.7807  0.6315  5 Zn 2.47-2.66

---

(3)
Material: Tb3Mg2Zn4
Method: DFT, PBE
State: optimized geometry

## Properties
Magnetization, μB/f.u.: 0.000
Calculated total energy, Ry per atom: -0.2007
Formation enthalpy at 0 K, eV per atom: -0.27

a b c (Å): 4.9324 4.9324 9.1727
angles (deg): 90.00 90.00 120.00
With the nearest neighbours (Å) after each atom.
Sites, in units of the cell vectors:
Tb  0.0000  0.0000  0.0000  8 Zn 2.96-3.15
Tb  0.3333  0.6667  0.5966  4 Zn 2.90-2.91
Tb  0.6667  0.3333  0.4034  4 Zn 2.90-2.91
Mg  0.3333  0.6667  0.2222  7 Zn 2.83-3.11
Mg  0.6667  0.3333  0.7778  7 Zn 2.83-3.11
Zn  0.0000  0.0000  0.3434  1 Zn 2.87, 4 Tb 2.90-3.15, 3 Mg 3.06
Zn  0.0000  0.0000  0.6566  1 Zn 2.87, 4 Tb 2.90-3.15, 3 Mg 3.06
Zn  0.3333  0.6667  0.9134  4 Mg 2.83-3.11, 4 Tb 2.91-2.96
Zn  0.6667  0.3333  0.0866  4 Mg 2.83-3.11, 4 Tb 2.91-2.96

---

(4)
Material: TbMgZn3
Method: DFT, PBE
State: optimized geometry

## Properties
Magnetization, μB/f.u.: 0.000
Calculated total energy, Ry per atom: -0.1579
Formation enthalpy at 0 K, eV per atom: -0.14

a b c (Å): 6.3957 6.3957 5.7165
angles (deg): 90.00 90.00 120.00
With the nearest neighbours (Å) after each atom.
Sites, in units of the cell vectors:
Tb  0.3333  0.6667  0.2500  12 Zn 3.21-3.22
Tb  0.6667  0.3333  0.7500  12 Zn 3.21-3.22
Mg  0.0000  0.0000  0.0000  6 Zn 2.66, 2 Mg 2.86
Mg  0.0000  0.0000  0.5000  6 Zn 2.66, 2 Mg 2.86
Zn  0.2024  0.4047  0.7500  2 Zn 2.51, 2 Mg 2.66
Zn  0.2024  0.7976  0.7500  2 Zn 2.51, 2 Mg 2.66
Zn  0.4047  0.2024  0.2500  2 Zn 2.51, 2 Mg 2.66
Zn  0.5953  0.7976  0.7500  2 Zn 2.51, 2 Mg 2.66
Zn  0.7976  0.2024  0.2500  2 Zn 2.51, 2 Mg 2.66
Zn  0.7976  0.5953  0.2500  2 Zn 2.51, 2 Mg 2.66

---

(5)
Material: TbMg4Zn
Method: DFT, PBE
State: optimized geometry

## Properties
Magnetization, μB/f.u.: 0.000
Calculated total energy, Ry per atom: -0.1509
Formation enthalpy at 0 K, eV per atom: -0.01
Energy above the most stable polymorph in this dataset, kJ/mol of atoms: 9.33

a b c (Å): 8.8039 8.8039 5.2731
angles (deg): 107.35 107.35 47.52
With the nearest neighbours (Å) after each atom.
Sites, in units of the cell vectors:
Tb  0.2046  0.2046  0.2042  12 Mg 3.27-3.59
Tb  0.7954  0.7954  0.7958  12 Mg 3.27-3.59
Mg  0.1076  0.6564  0.3820  2 Zn 2.92, 3 Mg 3.20
Mg  0.1872  0.8128  0.0000  2 Zn 2.63, 1 Mg 2.66
Mg  0.3318  0.3318  0.8312  2 Zn 2.92, 2 Tb 3.27
Mg  0.3436  0.8924  0.6180  2 Zn 2.92, 3 Mg 3.20
Mg  0.6564  0.1076  0.3820  2 Zn 2.92, 3 Mg 3.20
Mg  0.6682  0.6682  0.1688  2 Zn 2.92, 2 Tb 3.27
Mg  0.8128  0.1872  0.0000  2 Zn 2.63, 1 Mg 2.66
Mg  0.8924  0.3436  0.6180  2 Zn 2.92, 3 Mg 3.20
Zn  0.4997  0.4997  0.2668  1 Zn 2.46, 2 Mg 2.63
Zn  0.5003  0.5003  0.7332  1 Zn 2.46, 2 Mg 2.63

---

(6)
Material: Tb3Mg3Zn8
Method: DFT, PBE
State: optimized geometry

## Properties
Magnetization, μB/f.u.: 0.000
Calculated total energy, Ry per atom: -0.1728
Formation enthalpy at 0 K, eV per atom: -0.29

a b c (Å): 8.4445 8.4445 8.4445
angles (deg): 149.24 114.92 73.70
With the nearest neighbours (Å) after each atom.
Sites, in units of the cell vectors:
Tb  0.0000  0.0000  0.0000  12 Zn 3.17-3.40, 4 Mg 3.50
Tb  0.2931  0.2931  0.0000  12 Zn 3.09-3.35, 2 Mg 3.36
Tb  0.7069  0.7069  0.0000  12 Zn 3.09-3.35, 2 Mg 3.36
Mg  0.2958  0.5000  0.7958  2 Zn 2.66, 2 Mg 2.91
Mg  0.5000  0.0000  0.5000  4 Zn 2.84, 4 Mg 2.91
Mg  0.7042  0.5000  0.2042  2 Zn 2.66, 2 Mg 2.91
Zn  0.0287  0.6652  0.3636  4 Zn 2.48-2.69, 1 Mg 2.66
Zn  0.1288  0.8551  0.2738  3 Zn 2.58-2.69, 1 Mg 2.84
Zn  0.3016  0.6652  0.6364  4 Zn 2.48-2.69, 1 Mg 2.66
Zn  0.4187  0.1449  0.2738  3 Zn 2.58-2.69, 1 Mg 2.84
Zn  0.5813  0.8551  0.7262  3 Zn 2.58-2.69, 1 Mg 2.84
Zn  0.6984  0.3348  0.3636  4 Zn 2.48-2.69, 1 Mg 2.66
Zn  0.8712  0.1449  0.7262  3 Zn 2.58-2.69, 1 Mg 2.84
Zn  0.9713  0.3348  0.6364  4 Zn 2.48-2.69, 1 Mg 2.66

---

(7)
Material: Tb2MgZn9
Method: DFT, PBE
State: optimized geometry

## Properties
Magnetization, μB/f.u.: 0.000
Calculated total energy, Ry per atom: -0.1497
Formation enthalpy at 0 K, eV per atom: -0.18

a b c (Å): 9.0520 9.0520 9.0520
angles (deg): 35.14 35.14 35.14
With the nearest neighbours (Å) after each atom.
Sites, in units of the cell vectors:
Tb  0.1401  0.1401  0.1401  12 Zn 3.10-3.23, 3 Tb 3.43
Tb  0.8599  0.8599  0.8599  12 Zn 3.10-3.23, 3 Tb 3.43
Mg  0.0000  0.0000  0.0000  18 Zn 3.16-3.45
Zn  0.0772  0.5854  0.5854  7 Zn 2.62-2.78
Zn  0.3349  0.3349  0.3349  6 Zn 2.62-2.65
Zn  0.4146  0.4146  0.9228  7 Zn 2.62-2.78
Zn  0.4146  0.9228  0.4146  7 Zn 2.62-2.78
Zn  0.5000  0.5000  0.5000  6 Zn 2.67
Zn  0.5854  0.0772  0.5854  7 Zn 2.62-2.78
Zn  0.5854  0.5854  0.0772  7 Zn 2.62-2.78
Zn  0.6651  0.6651  0.6651  6 Zn 2.62-2.65
Zn  0.9228  0.4146  0.4146  7 Zn 2.62-2.78

---

(8)
Material: Tb5MgZn4
Method: DFT, PBE
State: optimized geometry

## Properties
Magnetization, μB/f.u.: 0.000
Calculated total energy, Ry per atom: -0.2405
Formation enthalpy at 0 K, eV per atom: -0.29

a b c (Å): 3.5894 3.5894 18.5620
angles (deg): 90.00 90.00 90.00
With the nearest neighbours (Å) after each atom.
Sites, in units of the cell vectors:
Tb  0.0000  0.0000  0.0000  8 Zn 3.10
Tb  0.0000  0.0000  0.1919  8 Zn 3.10-3.13
Tb  0.0000  0.0000  0.3822  4 Zn 3.06, 4 Mg 3.35
Tb  0.0000  0.0000  0.6178  4 Zn 3.06, 4 Mg 3.35
Tb  0.0000  0.0000  0.8081  8 Zn 3.10-3.13
Mg  0.5000  0.5000  0.5000  8 Tb 3.35, 4 Mg 3.59
Zn  0.5000  0.5000  0.0963  8 Tb 3.10
Zn  0.5000  0.5000  0.2904  8 Tb 3.06-3.13
Zn  0.5000  0.5000  0.7096  8 Tb 3.06-3.13
Zn  0.5000  0.5000  0.9037  8 Tb 3.10

---

(9)
Material: TbMgZn4
Method: DFT, PBE
State: optimized geometry

## Properties
Magnetization, μB/f.u.: 0.000
Calculated total energy, Ry per atom: -0.1602
Formation enthalpy at 0 K, eV per atom: -0.29

a b c (Å): 4.4298 4.4298 6.5933
angles (deg): 90.00 90.00 120.00
With the nearest neighbours (Å) after each atom.
Sites, in units of the cell vectors:
Tb  0.0000  0.0000  0.0000  12 Zn 3.10, 2 Mg 3.30
Mg  0.0000  0.0000  0.5000  12 Zn 2.99, 2 Tb 3.30
Zn  0.3333  0.6667  0.2649  3 Zn 2.56
Zn  0.3333  0.6667  0.7351  3 Zn 2.56
Zn  0.6667  0.3333  0.2649  3 Zn 2.56
Zn  0.6667  0.3333  0.7351  3 Zn 2.56

---

(10)
Material: Tb3Mg3Zn2
Method: DFT, PBE
State: optimized geometry

## Properties
Magnetization, μB/f.u.: 0.555
Calculated total energy, Ry per atom: -0.2063
Formation enthalpy at 0 K, eV per atom: -0.15

a b c (Å): 7.8269 7.8269 3.7807
angles (deg): 90.00 90.00 120.00
With the nearest neighbours (Å) after each atom.
Sites, in units of the cell vectors:
Tb  0.0000  0.4131  0.0000  4 Zn 3.02, 6 Mg 3.36-3.38
Tb  0.4131  0.0000  0.0000  4 Zn 3.02, 6 Mg 3.36-3.38
Tb  0.5869  0.5869  0.0000  4 Zn 3.02, 6 Mg 3.36-3.38
Mg  0.0000  0.7674  0.5000  2 Zn 3.08, 2 Mg 3.15, 6 Tb 3.36-3.38
Mg  0.2326  0.2326  0.5000  2 Zn 3.08, 2 Mg 3.15, 6 Tb 3.36-3.38
Mg  0.7674  0.0000  0.5000  2 Zn 3.08, 2 Mg 3.15, 6 Tb 3.36-3.38
Zn  0.3333  0.6667  0.5000  6 Tb 3.02, 3 Mg 3.08
Zn  0.6667  0.3333  0.5000  6 Tb 3.02, 3 Mg 3.08